La3InAg3: optimized geometry, PBE-GGA.

Results
- total moment (μB/f.u.) = 0.0
- energy relative to the elements (meV per atom) = -283

Cell: 6.1833 6.1833 15.6897 Å, 106.59 106.59 44.00°
Element x y z (fractional)
La  0.0330  0.0330  0.3866
La  0.1052  0.1052  0.9208
La  0.2430  0.2430  0.2283
La  0.7570  0.7570  0.7717
La  0.8948  0.8948  0.0792
La  0.9670  0.9670  0.6134
In  0.2575  0.2575  0.6103
In  0.7425  0.7425  0.3897
Ag  0.3704  0.3704  0.4596
Ag  0.3891  0.3891  0.9248
Ag  0.4727  0.4727  0.7702
Ag  0.5273  0.5273  0.2298
Ag  0.6109  0.6109  0.0752
Ag  0.6296  0.6296  0.5404